The following is a PBE calculation of an optimized crystal structure of HoBNO, from OQMD via LeMat-Bulk.

Values from the calculation:
energy above the most stable polymorph in this dataset: 309.3 meV/atom
E_tot: -62.14 eV for the cell shown

a = 2.7945 Å, b = 5.0505 Å, c = 5.8501 Å
α = 90.00°, β = 90.00°, γ = 90.00°
Last column: nearest neighbours and their distance in Å.
Space group Pmc2_1 (No. 26)
Unique sites:
Ho  0.0000  0.2004  0.0000 x2  4 O 2.34-2.42, 2 N 2.37-2.38
B  0.5000  0.3071  0.4893 x2  1 O 1.45, 2 N 1.54
N  0.0000  0.3493  0.3859 x2  2 B 1.54
O  0.5000  0.1286  0.6844 x2  1 B 1.45